A geometry-optimized Cu3Pd8Pb2 structure, computed with GGA-PBE.

The space group is C2/m (No. 12) and the conventional cell measures 11.7388, 8.9478 and 4.3511 Å, with angles of 90.00, 101.15 and 90.00 degrees. The asymmetric unit holds Cu at (0.0000, 0.0000, 0.0000), Cu at (0.0000, 0.2395, 0.5000), Pd at (0.0680, 0.5000, 0.2894), Pd at (0.1286, 0.2340, 0.0550), Pd at (0.1330, 0.0000, 0.5689) and Pb at (0.2129, 0.5000, 0.8453).

Its crystal system is monoclinic. The calculation puts the formation energy at -55 meV/atom. The total magnetization is 0.00 μB/f.u.



A geometry-optimized Be2CdTc structure, computed with GGA-PBE.

The space group is Cm (No. 8) and the conventional cell measures 9.1149, 2.6815 and 4.3859 Å, with angles of 90.00, 107.60 and 90.00 degrees. The asymmetric unit holds Be at (0.0000, 0.0000, 0.0000), Be at (0.2075, 0.5000, 0.3167), Cd at (0.2431, 0.0000, 0.8326) and Tc at (0.4597, 0.0000, 0.4585).

Its crystal system is monoclinic. The calculation puts the formation energy at 234 meV/atom. The total magnetization is 0.00 μB/f.u.



A geometry-optimized AcNb2AgO8 structure, computed with GGA-PBE.

The space group is P-3 (No. 147) and the conventional cell measures 5.4644, 5.4644 and 6.2987 Å, with angles of 90.00, 90.00 and 120.00 degrees. The asymmetric unit holds Ac at (0.0000, 0.0000, 0.0000), Nb at (0.3333, 0.6667, 0.3857), Ag at (0.0000, 0.0000, 0.5000), O at (0.0505, 0.3683, 0.6570) and O at (0.3333, 0.6667, 0.0921).

Its crystal system is trigonal. For the formation energy from raw total energies, the calculation gives -1932 meV/atom. The total magnetization is 2.04 μB/f.u.